DFT (PBE-GGA) results for crystalline TlAuC at its relaxed geometry.

**Calculated density**: 9.4 g/cm3
**Magnetic moment**: 0.00 μB per formula unit
**Crystal system**: triclinic
**Formation energy**: 0.478 eV/atom
**Final energy**: -0.3291 Ry/atom

CIF file:
```
data_TlAuC
_chemical_formula_sum 'Tl2 Au2 C2'
_symmetry_space_group_name_H-M 'P 1'
_symmetry_Int_Tables_number 1
_symmetry_space_group_name_Hall 'P 1'
_cell_length_a 4.959
_cell_length_b 4.979
_cell_length_c 6.748
_cell_angle_alpha 78.72
_cell_angle_beta 79.23
_cell_angle_gamma 63.54
loop_
_atom_site_label
_atom_site_fract_x
_atom_site_fract_y
_atom_site_fract_z
Tl1 0.000 0.000 0.000
Tl2 0.359 0.362 0.644
Au1 0.676 0.684 0.322
Au2 0.680 0.681 0.822
C1 0.057 0.304 0.322
C2 0.296 0.065 0.322
```

DFT (PBE-GGA) results for crystalline Rb3Ag2PbCl6 at its relaxed geometry.

**Calculated density**: 3.3 g/cm3
**Magnetic moment**: 0.59 μB per formula unit
**Crystal system**: trigonal
**Final energy**: -0.2243 Ry/atom
**Formation energy from raw total energies**: -1.10 eV/atom

CIF file:
```
data_Rb3Ag2PbCl6
_chemical_formula_sum 'Rb3 Ag2 Pb1 Cl6'
_symmetry_space_group_name_H-M 'P -3 m 1'
_symmetry_Int_Tables_number 164
_symmetry_space_group_name_Hall '-P 3 2"'
_cell_length_a 7.8737
_cell_length_b 7.8737
_cell_length_c 8.3156
_cell_angle_alpha 90.00
_cell_angle_beta 90.00
_cell_angle_gamma 120.00
loop_
_atom_site_label
_atom_site_fract_x
_atom_site_fract_y
_atom_site_fract_z
Rb1 0.0000 0.0000 0.0000
Rb2 0.3333 0.6667 0.6116
Ag1 0.3333 0.6667 0.1243
Pb1 0.0000 0.0000 0.5000
Cl1 0.1688 0.3376 0.2923
```

DFT (PBE-GGA) results for crystalline BaTl3Pb2 at its relaxed geometry.

**Calculated density**: 9.2 g/cm3
**Magnetic moment**: 0.00 μB per formula unit
**Crystal system**: orthorhombic
**E above lowest polymorph**: 2 meV per atom
**Formation energy**: -0.153 eV/atom
**Final energy**: -0.2126 Ry/atom

CIF file:
```
data_BaTl3Pb2
_chemical_formula_sum 'Ba4 Tl12 Pb8'
_symmetry_space_group_name_H-M 'C m c m'
_symmetry_Int_Tables_number 63
_symmetry_space_group_name_Hall '-C 2c 2'
_cell_length_a 10.993
_cell_length_b 11.292
_cell_length_c 6.796
_cell_angle_alpha 90.00
_cell_angle_beta 90.00
_cell_angle_gamma 90.00
loop_
_atom_site_label
_atom_site_fract_x
_atom_site_fract_y
_atom_site_fract_z
Ba1 0.000 0.206 0.250
Tl1 0.000 0.482 0.750
Tl2 0.161 0.243 0.750
Pb1 0.237 0.000 0.000
```

DFT (PBE-GGA) results for crystalline BaSc2In at its relaxed geometry.

**Calculated density**: 4.6 g/cm3
**Magnetic moment**: 0.40 μB per formula unit
**Crystal system**: monoclinic
**Formation energy**: 0.063 eV/atom
**Final energy**: -0.3137 Ry/atom

CIF file:
```
data_BaSc2In
_chemical_formula_sum 'Ba1 Sc2 In1'
_symmetry_space_group_name_H-M 'P 1 2/m 1'
_symmetry_Int_Tables_number 10
_symmetry_space_group_name_Hall '-P 2y'
_cell_length_a 3.570
_cell_length_b 5.147
_cell_length_c 6.847
_cell_angle_alpha 90.00
_cell_angle_beta 102.29
_cell_angle_gamma 90.00
loop_
_atom_site_label
_atom_site_fract_x
_atom_site_fract_y
_atom_site_fract_z
Ba1 0.000 0.000 0.000
Sc1 0.318 0.500 0.695
In1 0.500 0.000 0.500
```

DFT (PBE-GGA) results for crystalline Sm4DyHo10 at its relaxed geometry.

**Calculated density**: 7.1 g/cm3
**Magnetic moment**: 0.00 μB per formula unit
**Crystal system**: tetragonal
**Formation energy**: 0.750 eV/atom
**Final energy**: -0.2842 Ry/atom

CIF file:
```
data_Sm4DyHo10
_chemical_formula_sum 'Sm8 Dy2 Ho20'
_symmetry_space_group_name_H-M 'I 4/m'
_symmetry_Int_Tables_number 87
_symmetry_space_group_name_Hall '-I 4'
_cell_length_a 12.162
_cell_length_b 12.162
_cell_length_c 7.685
_cell_angle_alpha 90.00
_cell_angle_beta 90.00
_cell_angle_gamma 90.00
loop_
_atom_site_label
_atom_site_fract_x
_atom_site_fract_y
_atom_site_fract_z
Sm1 0.101 0.299 0.000
Dy1 0.000 0.000 0.500
Ho1 0.000 0.500 0.250
Ho2 0.099 0.801 0.251
```

DFT (PBE-GGA) results for crystalline CePa2Co4Si3 at its relaxed geometry.

**Calculated density**: 9.5 g/cm3
**Magnetic moment**: 0.94 μB per formula unit
**Crystal system**: tetragonal
**Final energy**: -0.5541 Ry/atom
**Formation energy from raw total energies**: -0.58 eV/atom

CIF file:
```
data_CePa2Co4Si3
_chemical_formula_sum 'Ce1 Pa2 Co4 Si3'
_symmetry_space_group_name_H-M 'P -4 m 2'
_symmetry_Int_Tables_number 115
_symmetry_space_group_name_Hall 'P -4 -2'
_cell_length_a 4.095
_cell_length_b 4.095
_cell_length_c 9.590
_cell_angle_alpha 90.00
_cell_angle_beta 90.00
_cell_angle_gamma 90.00
loop_
_atom_site_label
_atom_site_fract_x
_atom_site_fract_y
_atom_site_fract_z
Ce1 0.000 0.000 0.000
Pa1 0.000 0.500 0.727
Co1 0.000 0.000 0.500
Co2 0.000 0.500 0.145
Co3 0.500 0.500 0.500
Si1 0.000 0.500 0.379
Si2 0.500 0.500 0.000
```